Record 1
DFT (GGA-PBE) results for an optimized crystal structure of Pr10ErTm6.

The calculation puts the volume at 34.3 Å³/atom. Its total moment is 0.0 μB/cell. The mass density comes out at 7.4 g/cm3. As for the energy of formation: 2.2 eV per formula unit. For the total energy, the calculation gives -77.03 eV per formula unit.

Cell: 9.863 9.863 6.914 Å, 90.00 90.00 120.00°
Sites, in units of the cell vectors:
Pr 0.000 0.276 0.319
Pr 0.000 0.724 0.681
Pr 0.276 0.000 0.319
Pr 0.276 0.276 0.681
Pr 0.333 0.667 0.000
Pr 0.333 0.667 0.500
Pr 0.667 0.333 0.000
Pr 0.667 0.333 0.500
Pr 0.724 0.000 0.681
Pr 0.724 0.724 0.319
Er 0.000 0.000 0.000
Tm 0.000 0.365 0.819
Tm 0.000 0.635 0.181
Tm 0.365 0.000 0.819
Tm 0.365 0.365 0.181
Tm 0.635 0.000 0.181
Tm 0.635 0.635 0.819

Record 2
DFT (GGA-PBE) results for an optimized crystal structure of Ca2CdPdN.

The calculation puts the volume at 20.3 Å³/atom. Its total moment is 0.0 μB/cell. The mass density comes out at 5.1 g/cm3. For the total energy, the calculation gives -20.75 eV per formula unit. The calculation puts the uncorrected formation energy at -0.4617 eV/atom.

Cell: 4.944 4.944 4.148 Å, 90.00 90.00 90.00°
Sites, in units of the cell vectors:
Ca 0.000 0.500 0.000
Ca 0.500 0.000 0.000
Cd 0.000 0.000 0.500
Pd 0.500 0.500 0.500
N 0.500 0.500 0.000

Record 3
DFT (GGA-PBE) results for an optimized crystal structure of Sm2YErAs4.

The calculation puts the volume at 25.4 Å³/atom. Its total moment is 0.0 μB/cell. The mass density comes out at 7.0 g/cm3. As for the energy of formation: -12.2 eV per formula unit. For the total energy, the calculation gives -51.31 eV per formula unit.

Cell: 7.200 4.162 7.205 Å, 90.00 109.48 90.00°
Sites, in units of the cell vectors:
Sm 0.000 0.000 0.000
Sm 0.000 0.500 0.500
Y 0.500 0.000 0.500
Er 0.500 0.500 0.000
As 0.256 0.500 0.251
As 0.257 0.000 0.754
As 0.743 0.000 0.246
As 0.744 0.500 0.749

Record 4
DFT (GGA-PBE) results for an optimized crystal structure of SrTmGeN3.

The calculation puts the volume at 17.9 Å³/atom. Its total moment is 0.0 μB/cell. The mass density comes out at 5.7 g/cm3. For the total energy, the calculation gives -40.08 eV per formula unit. The calculation puts the uncorrected formation energy at -0.7219 eV/atom.

Cell: 7.018 3.354 9.192 Å, 90.00 96.97 90.00°
Sites, in units of the cell vectors:
Sr 0.189 0.250 0.224
Sr 0.811 0.750 0.776
Tm 0.360 0.750 0.881
Tm 0.640 0.250 0.119
Ge 0.116 0.250 0.599
Ge 0.884 0.750 0.401
N 0.131 0.250 0.795
N 0.157 0.750 0.494
N 0.408 0.750 0.121
N 0.592 0.250 0.879
N 0.843 0.250 0.506
N 0.869 0.750 0.205

Record 5
DFT (GGA-PBE) results for an optimized crystal structure of MnAl2Cu2.

The calculation puts the volume at 13.4 Å³/atom. Its total moment is 2.1 μB/cell. The mass density comes out at 5.8 g/cm3. As for the energy of formation: -0.6 eV per formula unit. For the total energy, the calculation gives -25.43 eV per formula unit.

Cell: 9.299 9.299 2.691 Å, 90.00 90.00 163.21°
Sites, in units of the cell vectors:
Mn 0.000 0.000 0.000
Al 0.405 0.595 0.500
Al 0.595 0.405 0.500
Cu 0.192 0.808 0.000
Cu 0.808 0.192 0.000

Record 6
DFT (GGA-PBE) results for an optimized crystal structure of Tb2Sm2Ru3.

The calculation puts the volume at 23.1 Å³/atom. Its total moment is 0.0 μB/cell. The mass density comes out at 9.5 g/cm3. As for the energy of formation: -1.7 eV per formula unit. For the total energy, the calculation gives -48.26 eV per formula unit.

Cell: 4.801 4.888 7.689 Å, 71.68 71.92 89.98°
Sites, in units of the cell vectors:
Tb 0.128 0.128 0.246
Tb 0.872 0.872 0.754
Sm 0.374 0.374 0.751
Sm 0.626 0.626 0.249
Ru 0.251 0.751 0.998
Ru 0.500 0.000 0.500
Ru 0.749 0.249 0.002

Record 7
DFT (GGA-PBE) results for an optimized crystal structure of BaAc3Tc.

The calculation puts the volume at 42.7 Å³/atom. Its total moment is 0.0 μB/cell. The mass density comes out at 7.1 g/cm3. As for the energy of formation: 0.4 eV per formula unit. For the total energy, the calculation gives -24.22 eV per formula unit.

Cell: 10.045 10.045 6.729 Å, 109.55 109.55 121.03°
Sites, in units of the cell vectors:
Ba 0.000 0.500 0.000
Ba 0.500 0.000 0.000
Ac 0.171 0.171 0.921
Ac 0.194 0.428 0.561
Ac 0.428 0.194 0.561
Ac 0.572 0.806 0.439
Ac 0.806 0.572 0.439
Ac 0.829 0.829 0.079
Tc 0.500 0.500 0.000
Tc 0.500 0.500 0.500

Record 8
DFT (GGA-PBE) results for an optimized crystal structure of Sb2OsPb2.

The calculation puts the volume at 28.9 Å³/atom. Its total moment is 0.9 μB/cell. The mass density comes out at 9.8 g/cm3. For the total energy, the calculation gives -22.18 eV per formula unit. The calculation puts the uncorrected formation energy at 0.9419 eV/atom.

Cell: 9.751 9.751 9.751 Å, 156.76 156.76 33.10°
Sites, in units of the cell vectors:
Sb 0.250 0.750 0.500
Sb 0.750 0.250 0.500
Os 0.000 0.000 0.000
Pb 0.418 0.418 0.000
Pb 0.582 0.582 0.000

Record 9
DFT (GGA-PBE) results for an optimized crystal structure of ZnNiBr2.

The calculation puts the volume at 20.4 Å³/atom. Its total moment is 0.3 μB/cell. The mass density comes out at 5.8 g/cm3. For the total energy, the calculation gives -7.92 eV per formula unit. The calculation puts the uncorrected formation energy at 0.6207 eV/atom.

Cell: 4.870 4.870 4.870 Å, 60.00 60.00 60.00°
Sites, in units of the cell vectors:
Zn 0.000 0.000 0.000
Ni 0.250 0.250 0.250
Br 0.500 0.500 0.500
Br 0.750 0.750 0.750

Record 10
DFT (GGA-PBE) results for an optimized crystal structure of Li4TlRh.

The calculation puts the volume at 16.6 Å³/atom. Its total moment is 0.7 μB/cell. The mass density comes out at 5.6 g/cm3. As for the energy of formation: -0.7 eV per formula unit. For the total energy, the calculation gives -18.06 eV per formula unit.

Cell: 8.245 4.577 5.516 Å, 90.00 107.37 90.00°
Sites, in units of the cell vectors:
Li 0.145 0.014 0.410
Li 0.145 0.986 0.910
Li 0.294 0.474 0.855
Li 0.294 0.526 0.355
Li 0.706 0.474 0.645
Li 0.706 0.526 0.145
Li 0.855 0.014 0.090
Li 0.855 0.986 0.590
Tl 0.500 0.089 0.250
Tl 0.500 0.911 0.750
Rh 0.000 0.500 0.000
Rh 0.000 0.500 0.500

Record 11
DFT (GGA-PBE) results for an optimized crystal structure of AlCr2Bi.

The calculation puts the volume at 18.3 Å³/atom. Its total moment is 0.0 μB/cell. The mass density comes out at 7.7 g/cm3. As for the energy of formation: 3.1 eV per formula unit. For the total energy, the calculation gives -23.78 eV per formula unit.

Cell: 9.543 9.543 9.543 Å, 155.73 155.73 34.59°
Sites, in units of the cell vectors:
Al 0.000 0.000 0.000
Al 0.750 0.250 0.500
Cr 0.027 0.625 0.902
Cr 0.375 0.277 0.402
Cr 0.723 0.125 0.098
Cr 0.875 0.973 0.598
Bi 0.250 0.750 0.500
Bi 0.500 0.500 0.000

Record 12
DFT (GGA-PBE) results for an optimized crystal structure of Ti6Au2N.

The calculation puts the volume at 15.6 Å³/atom. Its total moment is 0.0 μB/cell. The mass density comes out at 8.2 g/cm3. For the total energy, the calculation gives -66.26 eV per formula unit. The calculation puts the uncorrected formation energy at -0.4456 eV/atom.

Cell: 3.024 7.291 7.291 Å, 119.38 90.00 90.00°
Sites, in units of the cell vectors:
Ti 0.000 0.000 0.000
Ti 0.000 0.546 0.751
Ti 0.000 0.751 0.546
Ti 0.500 0.124 0.768
Ti 0.500 0.332 0.332
Ti 0.500 0.768 0.124
Au 0.000 0.088 0.439
Au 0.000 0.439 0.088
N 0.500 0.798 0.798

Record 13
DFT (GGA-PBE) results for an optimized crystal structure of Tm2AgOsC.

The calculation puts the volume at 18.8 Å³/atom. Its total moment is 0.0 μB/cell. The mass density comes out at 11.5 g/cm3. As for the energy of formation: -2.0 eV per formula unit. For the total energy, the calculation gives -34.26 eV per formula unit.

Cell: 4.912 4.912 3.887 Å, 90.00 90.00 90.00°
Sites, in units of the cell vectors:
Tm 0.000 0.500 0.000
Tm 0.500 0.000 0.000
Ag 0.000 0.000 0.500
Os 0.500 0.500 0.500
C 0.500 0.500 0.000

Record 14
DFT (GGA-PBE) results for an optimized crystal structure of PmDy5In4.

The calculation puts the volume at 27.8 Å³/atom. Its total moment is 0.0 μB/cell. The mass density comes out at 8.5 g/cm3. As for the energy of formation: -3.8 eV per formula unit. For the total energy, the calculation gives -42.48 eV per formula unit.

Cell: 3.557 3.557 21.987 Å, 90.00 90.00 90.00°
Sites, in units of the cell vectors:
Pm 0.000 0.000 0.000
Dy 0.500 0.500 0.118
Dy 0.500 0.500 0.308
Dy 0.500 0.500 0.500
Dy 0.500 0.500 0.692
Dy 0.500 0.500 0.882
In 0.000 0.000 0.213
In 0.000 0.000 0.404
In 0.000 0.000 0.596
In 0.000 0.000 0.787

Record 15
DFT (GGA-PBE) results for an optimized crystal structure of MgGa3Co.

The calculation puts the volume at 16.5 Å³/atom. Its total moment is 0.0 μB/cell. The mass density comes out at 5.9 g/cm3. As for the energy of formation: -0.9 eV per formula unit. For the total energy, the calculation gives -18.72 eV per formula unit.

Cell: 8.228 3.903 10.247 Å, 90.00 90.00 90.00°
Sites, in units of the cell vectors:
Mg 0.185 0.250 0.010
Mg 0.315 0.750 0.510
Mg 0.685 0.250 0.490
Mg 0.815 0.750 0.990
Ga 0.047 0.250 0.418
Ga 0.087 0.750 0.206
Ga 0.165 0.750 0.789
Ga 0.335 0.250 0.289
Ga 0.413 0.250 0.706
Ga 0.453 0.750 0.918
Ga 0.547 0.250 0.082
Ga 0.587 0.750 0.294
Ga 0.665 0.750 0.711
Ga 0.835 0.250 0.211
Ga 0.913 0.250 0.794
Ga 0.953 0.750 0.582
Co 0.136 0.250 0.646
Co 0.364 0.750 0.146
Co 0.636 0.250 0.854
Co 0.864 0.750 0.354

Record 16
DFT (GGA-PBE) results for an optimized crystal structure of ScTl2BiSe4.

The calculation puts the volume at 28.7 Å³/atom. Its total moment is 0.0 μB/cell. The mass density comes out at 7.1 g/cm3. For the total energy, the calculation gives -35.64 eV per formula unit. The calculation puts the uncorrected formation energy at -0.8448 eV/atom.

Cell: 7.234 4.139 8.030 Å, 90.00 107.12 90.00°
Sites, in units of the cell vectors:
Sc 0.000 0.000 0.000
Tl 0.000 0.500 0.500
Tl 0.500 0.000 0.500
Bi 0.500 0.500 0.000
Se 0.216 0.500 0.198
Se 0.245 0.000 0.792
Se 0.755 0.000 0.208
Se 0.784 0.500 0.802

Record 17
DFT (GGA-PBE) results for an optimized crystal structure of Ca3AuCl.

The calculation puts the volume at 37.6 Å³/atom. Its total moment is 0.0 μB/cell. The mass density comes out at 3.1 g/cm3. For the total energy, the calculation gives -14.37 eV per formula unit. The calculation puts the uncorrected formation energy at -0.6489 eV/atom.

Cell: 5.729 5.729 5.729 Å, 90.00 90.00 90.00°
Sites, in units of the cell vectors:
Ca 0.000 0.000 0.500
Ca 0.000 0.500 0.000
Ca 0.500 0.000 0.000
Au 0.000 0.000 0.000
Cl 0.500 0.500 0.500

Record 18
DFT (GGA-PBE) results for an optimized crystal structure of CePm5C3.

The calculation puts the volume at 23.9 Å³/atom. Its total moment is 0.7 μB/cell. The mass density comes out at 7.0 g/cm3. As for the energy of formation: -0.3 eV per formula unit. For the total energy, the calculation gives -57.67 eV per formula unit.

Cell: 7.239 7.239 9.522 Å, 111.32 111.32 76.04°
Sites, in units of the cell vectors:
Ce 0.093 0.093 0.298
Ce 0.907 0.907 0.702
Pm 0.032 0.629 0.335
Pm 0.234 0.234 0.031
Pm 0.300 0.700 0.000
Pm 0.371 0.968 0.665
Pm 0.436 0.436 0.635
Pm 0.564 0.564 0.365
Pm 0.629 0.032 0.335
Pm 0.700 0.300 0.000
Pm 0.766 0.766 0.969
Pm 0.968 0.371 0.665
C 0.000 0.000 0.000
C 0.000 0.000 0.500
C 0.316 0.316 0.332
C 0.336 0.336 0.828
C 0.664 0.664 0.172
C 0.684 0.684 0.668

Record 19
DFT (GGA-PBE) results for an optimized crystal structure of CdInSn.

The calculation puts the volume at 26.2 Å³/atom. Its total moment is 0.0 μB/cell. The mass density comes out at 7.3 g/cm3. As for the energy of formation: 0.1 eV per formula unit. For the total energy, the calculation gives -7.53 eV per formula unit.

Cell: 3.374 3.374 7.978 Å, 90.00 90.00 120.00°
Sites, in units of the cell vectors:
Cd 0.000 0.000 0.000
In 0.333 0.667 0.673
Sn 0.667 0.333 0.330

Record 20
DFT (GGA-PBE) results for an optimized crystal structure of Rb2BaBr6Cl.

The calculation puts the volume at 45.3 Å³/atom. Its total moment is 1.0 μB/cell. The mass density comes out at 3.0 g/cm3. For the total energy, the calculation gives -26.89 eV per formula unit. The calculation puts the uncorrected formation energy at -1.1144 eV/atom.

Cell: 8.468 8.468 8.468 Å, 115.66 115.66 97.70°
Sites, in units of the cell vectors:
Rb 0.250 0.750 0.500
Rb 0.750 0.250 0.500
Ba 0.000 0.000 0.000
Br 0.243 0.243 0.486
Br 0.243 0.757 0.000
Br 0.285 0.285 0.000
Br 0.715 0.715 0.000
Br 0.757 0.243 0.000
Br 0.757 0.757 0.514
Cl 0.500 0.500 0.000